(1)
This record from Alexandria via LeMat-Bulk describes crystalline LaPd6 at its relaxed geometry. The functional is GGA-PBE.

Calculated values
Its formation enthalpy at 0 K is -0.451 eV per atom. The crystal system is orthorhombic. The volume is 18.2 Å³/atom. The total energy comes out at -5.61 eV per atom.

CIF file:
```
data_LaPd6
_chemical_formula_sum 'La4 Pd24'
_cell_length_a 8.848
_cell_length_b 5.395
_cell_length_c 10.672
_cell_angle_alpha 90.00
_cell_angle_beta 90.00
_cell_angle_gamma 90.00
_space_group_name_H-M_alt 'P n m a'
_space_group_IT_number 62
_space_group_name_Hall '-P 2ac 2n'
loop_
_atom_site_label
_atom_site_type_symbol
_atom_site_fract_x
_atom_site_fract_y
_atom_site_fract_z
La1 La 0.245 0.250 0.059
Pd1 Pd 0.060 0.750 0.074
Pd2 Pd 0.061 0.005 0.301
Pd3 Pd 0.110 0.250 0.520
Pd4 Pd 0.163 0.750 0.837
Pd5 Pd 0.185 0.250 0.771
```

=====

(2)
This record from Alexandria via LeMat-Bulk describes crystalline La2Pd3 at its relaxed geometry. The functional is GGA-PBE.

Calculated values
Its formation enthalpy at 0 K is -0.751 eV per atom. The crystal system is trigonal. The volume is 24.8 Å³/atom. The total energy comes out at -5.84 eV per atom.

CIF file:
```
data_La2Pd3
_chemical_formula_sum 'La6 Pd9'
_cell_length_a 4.5313
_cell_length_b 4.5313
_cell_length_c 20.9442
_cell_angle_alpha 90.00
_cell_angle_beta 90.00
_cell_angle_gamma 120.00
_space_group_name_H-M_alt 'R -3 m'
_space_group_IT_number 166
_space_group_name_Hall '-R 3 2"'
loop_
_atom_site_label
_atom_site_type_symbol
_atom_site_fract_x
_atom_site_fract_y
_atom_site_fract_z
La1 La 0.0000 0.0000 0.0886
Pd1 Pd 0.0000 0.0000 0.3478
Pd2 Pd 0.0000 0.0000 0.5000
```

=====

(3)
This record from Alexandria via LeMat-Bulk describes crystalline LaPd at its relaxed geometry. The functional is GGA-PBE.

Calculated values
Its formation enthalpy at 0 K is -0.606 eV per atom. The crystal system is tetragonal. The volume is 27.3 Å³/atom. The total energy comes out at -5.67 eV per atom.

CIF file:
```
data_LaPd
_chemical_formula_sum 'La8 Pd8'
_cell_length_a 9.753
_cell_length_b 9.753
_cell_length_c 4.598
_cell_angle_alpha 90.00
_cell_angle_beta 90.00
_cell_angle_gamma 90.00
_space_group_name_H-M_alt 'I 4/m m m'
_space_group_IT_number 139
_space_group_name_Hall '-I 4 2'
loop_
_atom_site_label
_atom_site_type_symbol
_atom_site_fract_x
_atom_site_fract_y
_atom_site_fract_z
La1 La 0.000 0.275 0.000
Pd1 Pd 0.178 0.178 0.500
```

=====

(4)
This record from Alexandria via LeMat-Bulk describes crystalline LaPd3 at its relaxed geometry. The functional is GGA-PBE.

Calculated values
Its formation enthalpy at 0 K is -0.697 eV per atom. The crystal system is tetragonal. The volume is 19.3 Å³/atom. The total energy comes out at -5.82 eV per atom.

CIF file:
```
data_LaPd3
_chemical_formula_sum 'La2 Pd6'
_cell_length_a 4.266
_cell_length_b 4.266
_cell_length_c 8.464
_cell_angle_alpha 90.00
_cell_angle_beta 90.00
_cell_angle_gamma 90.00
_space_group_name_H-M_alt 'I 4/m m m'
_space_group_IT_number 139
_space_group_name_Hall '-I 4 2'
loop_
_atom_site_label
_atom_site_type_symbol
_atom_site_fract_x
_atom_site_fract_y
_atom_site_fract_z
La1 La 0.000 0.000 0.000
Pd1 Pd 0.000 0.000 0.500
Pd2 Pd 0.000 0.500 0.250
```